Record 1
Density functional theory data (PBE) for crystalline SrCa3 at its relaxed geometry.

## Properties
Polymorph energy (0 for the lowest one) ... 2 meV per atom
V ... 45.00 Å³/atom
VASP energy ... -1.906 eV per atom
ΔH_f (0 K) ... 0.02 eV/atom

a b c (Å): 8.0017 6.8650 13.1082
angles (deg): 90.00 90.00 90.00
Sites, in units of the cell vectors:
Ca: 0.8728 0.0876 0.2500
Ca: 0.6261 0.2565 0.4978
Ca: 0.3739 0.7435 0.9978
Ca: 0.6261 0.2565 0.0022
Ca: 0.1272 0.9124 0.7500
Ca: 0.6272 0.5876 0.2500
Ca: 0.3739 0.7435 0.5022
Ca: 0.1261 0.2435 0.9978
Ca: 0.8739 0.7565 0.0022
Ca: 0.8739 0.7565 0.4978
Ca: 0.1261 0.2435 0.5022
Ca: 0.3728 0.4124 0.7500
Sr: 0.3790 0.0853 0.2500
Sr: 0.8790 0.4147 0.7500
Sr: 0.6210 0.9147 0.7500
Sr: 0.1210 0.5853 0.2500


Record 2
Density functional theory data (PBE) for crystalline Sr2TlSnHg at its relaxed geometry.

## Properties
V ... 41.64 Å³/atom
VASP energy ... -2.095 eV per atom
ΔH_f (0 K) ... -0.09 eV/atom

a b c (Å): 6.1569 5.4929 6.1569
angles (deg): 90.00 90.00 90.00
Sites, in units of the cell vectors:
Sr: 0.5000 0.0000 0.0000
Sr: 0.0000 0.0000 0.5000
Sn: 0.0000 0.5000 0.0000
Hg: 0.0000 0.0000 0.0000
Tl: 0.5000 0.5000 0.5000


Total magnetic moment, respectively: 0.00; 0.00 μB/f.u..